Version a
First-principles (PBE) data for a geometry-optimized PaReAs structure, as listed in OQMD.

```
PaReAs
1.0
0.0000 3.2076 3.2076
3.2076 0.0000 3.2076
3.2076 3.2076 0.0000
Pa Re As
1 1 1
direct
0.0000 0.0000 0.0000
0.7500 0.7500 0.7500
0.5000 0.5000 0.5000
```


Version b
First-principles (PBE) data for a geometry-optimized PaReAs structure, as listed in OQMD.

```
PaReAs
1.0
0.0000 3.2781 3.2781
3.2781 0.0000 3.2781
3.2781 3.2781 0.0000
Pa Re As
1 1 1
direct
0.0000 0.0000 0.0000
0.2500 0.2500 0.2500
0.7500 0.7500 0.7500
```


Pick version a: it beats the second-best structure by 61.6 kJ/mol of atoms.


Version a
First-principles (PBE) data for a geometry-optimized PaTlAs structure, as listed in OQMD.

```
PaTlAs
1.0
0.0000 3.5222 3.5222
3.5222 0.0000 3.5222
3.5222 3.5222 0.0000
Pa Tl As
1 1 1
direct
0.0000 0.0000 0.0000
0.7500 0.7500 0.7500
0.5000 0.5000 0.5000
```


Version b
First-principles (PBE) data for a geometry-optimized PaTlAs structure, as listed in OQMD.

```
PaTlAs
1.0
0.0000 3.5102 3.5102
3.5102 0.0000 3.5102
3.5102 3.5102 0.0000
Pa Tl As
1 1 1
direct
0.0000 0.0000 0.0000
0.2500 0.2500 0.2500
0.7500 0.7500 0.7500
```


Pick version b: it beats the second-best structure by 44.0 kJ/mol of atoms.


Version a
First-principles (PBE) data for a geometry-optimized TaAsPb structure, as listed in OQMD.

```
TaAsPb
1.0
0.0000 3.3181 3.3181
3.3181 0.0000 3.3181
3.3181 3.3181 0.0000
Ta As Pb
1 1 1
direct
0.0000 0.0000 0.0000
0.7500 0.7500 0.7500
0.2500 0.2500 0.2500
```


Version b
First-principles (PBE) data for a geometry-optimized TaAsPb structure, as listed in OQMD.

```
TaAsPb
1.0
0.0000 3.3930 3.3930
3.3930 0.0000 3.3930
3.3930 3.3930 0.0000
Ta As Pb
1 1 1
direct
0.0000 0.0000 0.0000
0.5000 0.5000 0.5000
0.7500 0.7500 0.7500
```


Pick version a: it beats the second-best structure by 63.8 kJ/mol of atoms.


Version a
First-principles (PBE) data for a geometry-optimized ZrAsPb structure, as listed in OQMD.

```
ZrAsPb
1.0
0.0000 3.4144 3.4144
3.4144 0.0000 3.4144
3.4144 3.4144 0.0000
Zr As Pb
1 1 1
direct
0.0000 0.0000 0.0000
0.7500 0.7500 0.7500
0.2500 0.2500 0.2500
```


Version b
First-principles (PBE) data for a geometry-optimized ZrAsPb structure, as listed in OQMD.

```
ZrAsPb
1.0
0.0000 3.4735 3.4735
3.4735 0.0000 3.4735
3.4735 3.4735 0.0000
Zr As Pb
1 1 1
direct
0.0000 0.0000 0.0000
0.5000 0.5000 0.5000
0.7500 0.7500 0.7500
```


Pick version a: it beats the second-best structure by 40.7 kJ/mol of atoms.


Version a
First-principles (PBE) data for a geometry-optimized AsPd15 structure, as listed in OQMD.

```
AsPd15
1.0
4.7661 0.0000 0.0000
0.0000 33.8182 0.0000
-1.5836 0.0000 4.4974
As Pd
2 30
direct
0.0000 0.1956 0.2500
0.0000 0.8044 0.7500
0.0000 0.2248 0.7500
0.0000 0.2697 0.2500
0.0000 0.3113 0.7500
0.0000 0.3533 0.2500
0.0000 0.3952 0.7500
0.0000 0.4372 0.2500
0.0000 0.4791 0.7500
0.0000 0.5209 0.2500
0.0000 0.5628 0.7500
0.0000 0.6048 0.2500
0.0000 0.6467 0.7500
0.0000 0.6887 0.2500
0.0000 0.7303 0.7500
0.0000 0.7752 0.2500
0.5000 0.1845 0.7500
0.5000 0.2248 0.2500
0.5000 0.2691 0.7500
0.5000 0.3113 0.2500
0.5000 0.3534 0.7500
0.5000 0.3952 0.2500
0.5000 0.4371 0.7500
0.5000 0.4791 0.2500
0.5000 0.5209 0.7500
0.5000 0.5629 0.2500
0.5000 0.6048 0.7500
0.5000 0.6466 0.2500
0.5000 0.6887 0.7500
0.5000 0.7309 0.2500
0.5000 0.7752 0.7500
0.5000 0.8155 0.2500
```


Version b
First-principles (PBE) data for a geometry-optimized AsPd15 structure, as listed in OQMD.

```
AsPd15
1.0
7.8900 0.0000 0.0000
0.0000 44.0331 0.0000
0.0000 0.0000 3.9286
As Pd
4 60
direct
0.1838 0.1694 0.0000
0.1838 0.8306 0.5000
0.8162 0.1694 0.5000
0.8162 0.8306 0.0000
0.1209 0.2058 0.5000
0.1205 0.2538 0.0000
0.1210 0.3004 0.5000
0.1210 0.6996 0.0000
0.1205 0.7462 0.5000
0.1209 0.7942 0.0000
0.1251 0.3453 0.0000
0.1253 0.4335 0.0000
0.1248 0.4778 0.5000
0.1248 0.5222 0.0000
0.1253 0.5665 0.5000
0.1251 0.6547 0.5000
0.1258 0.3894 0.5000
0.1258 0.6106 0.0000
0.3704 0.2562 0.5000
0.3704 0.7438 0.0000
0.3711 0.3002 0.0000
0.3711 0.6998 0.5000
0.3751 0.3445 0.5000
0.3753 0.4336 0.5000
0.3748 0.4779 0.0000
0.3748 0.5221 0.5000
0.3753 0.5664 0.0000
0.3751 0.6555 0.0000
0.3758 0.3891 0.0000
0.3758 0.6109 0.5000
0.3775 0.1629 0.5000
0.3775 0.8371 0.0000
0.3801 0.2115 0.0000
0.3801 0.7885 0.5000
0.6199 0.2115 0.5000
0.6199 0.7885 0.0000
0.6225 0.1629 0.0000
0.6225 0.8371 0.5000
0.6242 0.3891 0.5000
0.6242 0.6109 0.0000
0.6249 0.3445 0.0000
0.6247 0.4336 0.0000
0.6252 0.4779 0.5000
0.6252 0.5221 0.0000
0.6247 0.5664 0.5000
0.6249 0.6555 0.5000
0.6289 0.3002 0.5000
0.6289 0.6998 0.0000
0.6296 0.2562 0.0000
0.6296 0.7438 0.5000
0.8742 0.3894 0.0000
0.8742 0.6106 0.5000
0.8749 0.3453 0.5000
0.8747 0.4335 0.5000
0.8752 0.4778 0.0000
0.8752 0.5222 0.5000
0.8747 0.5665 0.0000
0.8749 0.6547 0.0000
0.8791 0.2058 0.0000
0.8795 0.2538 0.5000
0.8790 0.3004 0.0000
0.8790 0.6996 0.5000
0.8795 0.7462 0.0000
0.8791 0.7942 0.5000
```


Pick version b: it beats the second-best structure by 1.5 kJ/mol of atoms.


Version a
First-principles (PBE) data for a geometry-optimized AsPd15 structure, as listed in OQMD.

```
AsPd15
1.0
7.8128 0.0000 0.0000
0.0000 2.7848 0.0000
-0.0045 0.0000 35.6603
As Pd
2 30
direct
0.1251 0.2500 0.2828
0.8749 0.7500 0.7172
0.1194 0.2500 0.7435
0.1242 0.2500 0.9032
0.1255 0.2500 0.0575
0.1251 0.2500 0.1352
0.1249 0.2500 0.2130
0.1246 0.2500 0.8249
0.1256 0.2500 0.9806
0.3694 0.7500 0.2565
0.3742 0.7500 0.0969
0.3746 0.7500 0.1751
0.3751 0.7500 0.7101
0.3749 0.7500 0.7861
0.3751 0.7500 0.8638
0.3755 0.7500 0.9416
0.3756 0.7500 0.0191
0.6244 0.2500 0.9809
0.6245 0.2500 0.0584
0.6249 0.2500 0.1362
0.6251 0.2500 0.2139
0.6249 0.2500 0.2899
0.6254 0.2500 0.8249
0.6258 0.2500 0.9031
0.6306 0.2500 0.7435
0.8744 0.7500 0.0194
0.8754 0.7500 0.1751
0.8751 0.7500 0.7870
0.8749 0.7500 0.8648
0.8745 0.7500 0.9425
0.8758 0.7500 0.0968
0.8806 0.7500 0.2565
```


Version b
First-principles (PBE) data for a geometry-optimized AsPd15 structure, as listed in OQMD.

```
AsPd15
1.0
3.9096 0.0000 0.0000
0.0000 3.9073 0.0000
0.0000 0.0000 43.6039
As Pd
2 30
direct
0.2500 0.0000 0.1656
0.7500 0.0000 0.8344
0.2500 0.0000 0.2502
0.2500 0.0000 0.3414
0.2500 0.0000 0.4320
0.2500 0.0000 0.5224
0.2500 0.0000 0.6132
0.2500 0.0000 0.7039
0.2500 0.0000 0.7966
0.2500 0.5000 0.2034
0.2500 0.5000 0.2961
0.2500 0.5000 0.3869
0.2500 0.5000 0.4775
0.2500 0.5000 0.5681
0.2500 0.5000 0.6585
0.2500 0.5000 0.7501
0.2500 0.5000 0.8437
0.7500 0.0000 0.2034
0.7500 0.0000 0.2961
0.7500 0.0000 0.3868
0.7500 0.0000 0.4776
0.7500 0.0000 0.5680
0.7500 0.0000 0.6586
0.7500 0.0000 0.7498
0.7500 0.5000 0.1563
0.7500 0.5000 0.2499
0.7500 0.5000 0.3415
0.7500 0.5000 0.4319
0.7500 0.5000 0.5225
0.7500 0.5000 0.6131
0.7500 0.5000 0.7039
0.7500 0.5000 0.7966
```


Pick version b: it beats the second-best structure by 4.4 kJ/mol of atoms.


Version a
First-principles (PBE) data for a geometry-optimized AsPd15 structure, as listed in OQMD.

```
AsPd15
1.0
5.5284 0.0000 0.0000
0.0000 3.9178 0.0000
-0.0017 0.0000 34.1268
As Pd
2 30
direct
0.1245 0.2500 0.2027
0.8755 0.7500 0.7973
0.1239 0.2500 0.7702
0.1249 0.2500 0.2749
0.1248 0.2500 0.3569
0.1250 0.2500 0.4389
0.1253 0.2500 0.5206
0.1254 0.2500 0.6025
0.1257 0.2500 0.6848
0.3740 0.7500 0.2296
0.3740 0.7500 0.8091
0.3751 0.7500 0.3153
0.3750 0.7500 0.3976
0.3752 0.7500 0.4797
0.3752 0.7500 0.5618
0.3753 0.7500 0.6438
0.3753 0.7500 0.7263
0.6247 0.2500 0.2737
0.6247 0.2500 0.3562
0.6248 0.2500 0.4382
0.6248 0.2500 0.5203
0.6250 0.2500 0.6024
0.6249 0.2500 0.6847
0.6260 0.2500 0.1909
0.6260 0.2500 0.7704
0.8743 0.7500 0.3152
0.8746 0.7500 0.3975
0.8747 0.7500 0.4794
0.8750 0.7500 0.5611
0.8752 0.7500 0.6431
0.8751 0.7500 0.7251
0.8761 0.7500 0.2298
```


Version b
First-principles (PBE) data for a geometry-optimized AsPd15 structure, as listed in OQMD.

```
AsPd15
1.0
5.4952 0.0000 0.0000
0.0000 2.7841 0.0000
-0.0048 0.0000 44.3210
As Pd
2 30
direct
0.1249 0.2500 0.3284
0.8751 0.7500 0.6716
0.1245 0.2500 0.7095
0.1250 0.2500 0.0664
0.1250 0.2500 0.1550
0.1250 0.2500 0.2444
0.1246 0.2500 0.8004
0.1250 0.2500 0.8893
0.1250 0.2500 0.9778
0.3744 0.7500 0.2905
0.3750 0.7500 0.0222
0.3750 0.7500 0.1107
0.3746 0.7500 0.1996
0.3749 0.7500 0.6638
0.3750 0.7500 0.7553
0.3750 0.7500 0.8449
0.3750 0.7500 0.9335
0.6250 0.2500 0.0665
0.6250 0.2500 0.1551
0.6250 0.2500 0.2447
0.6251 0.2500 0.3362
0.6254 0.2500 0.8004
0.6250 0.2500 0.8893
0.6250 0.2500 0.9778
0.6256 0.2500 0.7095
0.8750 0.7500 0.0222
0.8750 0.7500 0.1107
0.8754 0.7500 0.1996
0.8750 0.7500 0.7556
0.8750 0.7500 0.8450
0.8750 0.7500 0.9336
0.8755 0.7500 0.2905
```


Pick version a: it beats the second-best structure by 1.2 kJ/mol of atoms.


Version a
First-principles (PBE) data for a geometry-optimized SbAsPd structure, as listed in OQMD.

```
SbAsPd
1.0
0.0000 3.1894 3.1894
3.1894 0.0000 3.1894
3.1894 3.1894 0.0000
Sb As Pd
1 1 1
direct
0.0000 0.0000 0.0000
0.5000 0.5000 0.5000
0.7500 0.7500 0.7500
```


Version b
First-principles (PBE) data for a geometry-optimized SbAsPd structure, as listed in OQMD.

```
SbAsPd
1.0
5.9629 0.0000 0.0000
0.0000 3.7813 0.0000
0.0000 0.0000 10.7077
Sb As Pd
4 4 4
direct
0.1980 0.2500 0.0960
0.3020 0.7500 0.5960
0.6980 0.2500 0.4040
0.8020 0.7500 0.9040
0.1858 0.2500 0.3711
0.3142 0.7500 0.8711
0.6858 0.2500 0.1289
0.8142 0.7500 0.6289
0.0607 0.2500 0.7538
0.4393 0.7500 0.2538
0.5607 0.2500 0.7462
0.9393 0.7500 0.2462
```


Version c
First-principles (PBE) data for a geometry-optimized SbAsPd structure, as listed in OQMD.

```
SbAsPd
1.0
4.3685 0.0000 0.0000
-2.1843 3.7833 0.0000
0.0000 0.0000 7.4912
Sb As Pd
2 2 2
direct
0.0000 0.0000 0.0000
0.0000 0.0000 0.5000
0.3333 0.6667 0.2500
0.6667 0.3333 0.7500
0.3333 0.6667 0.7500
0.6667 0.3333 0.2500
```


Pick version a: it beats the second-best structure by 13.9 kJ/mol of atoms.